A relaxed HgBrN2F crystal. Source: Alexandria via LeMat-Bulk, functional PBE.

The structure in CIF format:
```
data_HgBrN2F
_space_group_name_H-M_alt 'P 4/m m m'
_space_group_IT_number 123
_space_group_name_Hall '-P 4 2'
_cell_length_a 3.804
_cell_length_b 3.804
_cell_length_c 5.489
_cell_angle_alpha 90.00
_cell_angle_beta 90.00
_cell_angle_gamma 90.00
loop_
_atom_site_label
_atom_site_type_symbol
_atom_site_fract_x
_atom_site_fract_y
_atom_site_fract_z
_atom_site_occupancy
Hg1 Hg 0.000 0.000 0.000 1
Br1 Br 0.500 0.500 0.500 1
N1 N 0.000 0.500 0.500 1
F1 F 0.500 0.500 0.000 1
```

Summary:
Total magnetization: 0.512 μB/cell
Energy: -2.5081 eV/atom

=====

A relaxed NaHgBr2F crystal. Source: Alexandria via LeMat-Bulk, functional PBE.

The structure in CIF format:
```
data_NaHgBr2F
_space_group_name_H-M_alt 'P 4/m m m'
_space_group_IT_number 123
_space_group_name_Hall '-P 4 2'
_cell_length_a 5.609
_cell_length_b 5.609
_cell_length_c 4.509
_cell_angle_alpha 90.00
_cell_angle_beta 90.00
_cell_angle_gamma 90.00
loop_
_atom_site_label
_atom_site_type_symbol
_atom_site_fract_x
_atom_site_fract_y
_atom_site_fract_z
_atom_site_occupancy
Na1 Na 0.000 0.000 0.000 1
Hg1 Hg 0.500 0.500 0.500 1
Br1 Br 0.000 0.500 0.500 1
F1 F 0.500 0.500 0.000 1
```

Summary:
Total magnetization: 0.000 μB/cell
Energy: -2.4315 eV/atom

=====

A relaxed NpHgBr2F6 crystal. Source: Alexandria via LeMat-Bulk, functional PBE.

The structure in CIF format:
```
data_NpHgBr2F6
_space_group_name_H-M_alt 'P -1'
_space_group_IT_number 2
_cell_length_a 6.306
_cell_length_b 6.307
_cell_length_c 6.553
_cell_angle_alpha 75.61
_cell_angle_beta 75.91
_cell_angle_gamma 74.16
loop_
_space_group_symop_operation_xyz
'x,y,z'
'-x,-y,-z'
loop_
_atom_site_label
_atom_site_type_symbol
_atom_site_fract_x
_atom_site_fract_y
_atom_site_fract_z
_atom_site_occupancy
Np1 Np 0.000 0.000 0.000 1
Hg1 Hg 0.500 0.500 0.500 1
Br1 Br 0.311 0.310 0.343 1
F1 F 0.120 0.872 0.275 1
F2 F 0.150 0.712 0.891 1
F3 F 0.278 0.122 0.872 1
```

Summary:
Total magnetization: 0.938 μB/cell
Energy: -5.0484 eV/atom

=====

A relaxed HgBrO2F crystal. Source: Alexandria via LeMat-Bulk, functional PBE.

The structure in CIF format:
```
data_HgBrO2F
_space_group_name_H-M_alt 'P 4/m m m'
_space_group_IT_number 123
_space_group_name_Hall '-P 4 2'
_cell_length_a 4.371
_cell_length_b 4.371
_cell_length_c 4.426
_cell_angle_alpha 90.00
_cell_angle_beta 90.00
_cell_angle_gamma 90.00
loop_
_atom_site_label
_atom_site_type_symbol
_atom_site_fract_x
_atom_site_fract_y
_atom_site_fract_z
_atom_site_occupancy
Hg1 Hg 0.000 0.000 0.000 1
Br1 Br 0.500 0.500 0.500 1
O1 O 0.000 0.500 0.000 1
F1 F 0.000 0.000 0.500 1
```

Summary:
Total magnetization: 3.150 μB/cell
Energy: -2.3645 eV/atom

=====

A relaxed HgBrO2F crystal. Source: Alexandria via LeMat-Bulk, functional PBE.

The structure in CIF format:
```
data_HgBrO2F
_space_group_name_H-M_alt 'P 4/m m m'
_space_group_IT_number 123
_space_group_name_Hall '-P 4 2'
_cell_length_a 3.804
_cell_length_b 3.804
_cell_length_c 5.954
_cell_angle_alpha 90.00
_cell_angle_beta 90.00
_cell_angle_gamma 90.00
loop_
_atom_site_label
_atom_site_type_symbol
_atom_site_fract_x
_atom_site_fract_y
_atom_site_fract_z
_atom_site_occupancy
Hg1 Hg 0.000 0.000 0.000 1
Br1 Br 0.500 0.500 0.500 1
O1 O 0.000 0.500 0.500 1
F1 F 0.500 0.500 0.000 1
```

Summary:
Total magnetization: 0.000 μB/cell
Energy: -2.6148 eV/atom

=====

A relaxed HgOsBr2F6 crystal. Source: Alexandria via LeMat-Bulk, functional PBE.

The structure in CIF format:
```
data_HgOsBr2F6
_space_group_name_H-M_alt 'P m m n'
_space_group_IT_number 59
_cell_length_a 6.358
_cell_length_b 10.237
_cell_length_c 6.997
_cell_angle_alpha 90.00
_cell_angle_beta 90.00
_cell_angle_gamma 90.00
loop_
_space_group_symop_operation_xyz
'x,y,z'
'-x,-y,-z'
'-x+1/2,-y+1/2,z'
'x+1/2,y+1/2,-z'
'x+1/2,-y,-z'
'-x+1/2,y,z'
'-x,y+1/2,-z'
'x,-y+1/2,z'
loop_
_atom_site_label
_atom_site_type_symbol
_atom_site_fract_x
_atom_site_fract_y
_atom_site_fract_z
_atom_site_occupancy
Hg1 Hg 0.250 0.250 0.000 1
Os1 Os 0.250 0.750 0.500 1
Br1 Br 0.250 0.010 0.000 1
F1 F 0.040 0.750 0.304 1
F2 F 0.040 0.750 0.695 1
F3 F 0.250 0.566 0.500 1
```

Summary:
Total magnetization: 5.280 μB/cell
Energy: -3.9695 eV/atom